1.
{"formula": "Sr2SnH", "functional": "PBE", "state": "relaxed", "cell": [[7.627, 0.000, 0.000], [0.000, 7.627, 0.000], [3.814, 3.814, 4.070]], "species": ["H", "H", "Sr", "Sr", "Sr", "Sr", "Sn", "Sn"], "fractional_positions": [[0.500, 0.500, 0.000], [0.250, 0.750, 0.500], [0.534, 0.125, 0.250], [0.375, 0.466, 0.750], [0.216, 0.625, 0.250], [0.875, 0.784, 0.750], [0.000, 0.000, 0.000], [0.750, 0.250, 0.500]], "volume_a3_per_cell": 237}

***

2.
{"formula": "Sr6Sn3H", "functional": "PBE", "state": "relaxed", "cell": [[7.289, 0.000, 0.185], [0.000, 9.143, 0.000], [0.329, 0.000, 11.005]], "species": ["Sr", "Sr", "Sr", "Sr", "Sr", "Sr", "Sr", "Sr", "Sr", "Sr", "Sr", "Sr", "Sn", "Sn", "Sn", "Sn", "Sn", "Sn", "H", "H"], "fractional_positions": [[0.841, 0.671, 0.560], [0.367, 0.816, 0.436], [0.129, 0.043, 0.769], [0.133, 0.316, 0.064], [0.867, 0.684, 0.936], [0.371, 0.543, 0.731], [0.629, 0.457, 0.269], [0.341, 0.829, 0.060], [0.159, 0.329, 0.440], [0.633, 0.184, 0.564], [0.871, 0.957, 0.231], [0.659, 0.171, 0.940], [0.500, 0.500, 0.000], [0.557, 0.888, 0.754], [0.943, 0.388, 0.746], [0.443, 0.112, 0.246], [0.000, 0.000, 0.500], [0.057, 0.612, 0.254], [0.000, 0.000, 0.000], [0.500, 0.500, 0.500]], "volume_a3_per_cell": 733}

***

3.
{"formula": "Sr6Sn3H2", "functional": "PBE", "state": "relaxed", "cell": [[5.383, 0.000, 0.000], [0.000, 5.383, 0.000], [-2.691, -2.691, 12.419]], "species": ["Sn", "Sn", "Sn", "Sr", "Sr", "Sr", "Sr", "Sr", "Sr", "H", "H"], "fractional_positions": [[0.164, 0.164, 0.328], [0.000, 0.000, 0.000], [0.836, 0.836, 0.672], [0.298, 0.298, 0.596], [0.702, 0.702, 0.404], [0.082, 0.582, 0.164], [0.418, 0.918, 0.836], [0.582, 0.082, 0.164], [0.918, 0.418, 0.836], [0.599, 0.599, 0.197], [0.401, 0.401, 0.803]], "volume_a3_per_cell": 360}

***

4.
{"formula": "Sr5Sn2H", "functional": "PBE", "state": "relaxed", "cell": [[-5.692, 2.459, -4.418], [-4.607, -5.265, 3.004], [3.808, 4.568, 4.196]], "species": ["H", "Sr", "Sr", "Sr", "Sr", "Sr", "Sn", "Sn"], "fractional_positions": [[0.995, 0.995, 0.990], [0.251, 0.758, 0.009], [0.758, 0.758, 0.009], [0.251, 0.251, 0.009], [0.752, 0.752, 0.504], [0.758, 0.251, 0.009], [0.756, 0.256, 0.512], [0.256, 0.756, 0.512]], "volume_a3_per_cell": 284}

***

5.
{"formula": "Sr2SnH2", "functional": "PBE", "state": "relaxed", "cell": [[-2.940, 2.037, 1.160], [-1.956, -1.106, -3.014], [-2.756, -6.316, 4.106]], "species": ["H", "H", "Sr", "Sr", "Sn"], "fractional_positions": [[0.000, 0.500, 0.500], [0.500, 0.000, 0.500], [0.500, 0.500, 0.297], [0.500, 0.500, 0.703], [0.000, 0.000, 0.000]], "volume_a3_per_cell": 113}

***

6.
{"formula": "Sr3Sn5H12", "functional": "PBE", "state": "relaxed", "cell": [[-7.063, 0.293, 9.415], [2.088, -11.193, -2.992], [10.175, 5.341, 2.559]], "species": ["H", "H", "H", "H", "H", "H", "H", "H", "H", "H", "H", "H", "H", "H", "H", "H", "H", "H", "H", "H", "H", "H", "H", "H", "H", "H", "H", "H", "H", "H", "H", "H", "H", "H", "H", "H", "H", "H", "H", "H", "H", "H", "H", "H", "H", "H", "H", "H", "Sn", "Sn", "Sn", "Sn", "Sn", "Sn", "Sn", "Sn", "Sn", "Sn", "Sn", "Sn", "Sn", "Sn", "Sn", "Sn", "Sn", "Sn", "Sn", "Sn", "Sr", "Sr", "Sr", "Sr", "Sr", "Sr", "Sr", "Sr", "Sr", "Sr", "Sr", "Sr"], "fractional_positions": [[0.450, 0.789, 0.868], [0.079, 0.918, 0.368], [0.921, 0.082, 0.632], [0.789, 0.339, 0.921], [0.082, 0.161, 0.450], [0.950, 0.368, 0.289], [0.368, 0.950, 0.789], [0.579, 0.868, 0.418], [0.368, 0.418, 0.079], [0.421, 0.132, 0.582], [0.161, 0.079, 0.711], [0.450, 0.661, 0.082], [0.418, 0.368, 0.579], [0.661, 0.450, 0.582], [0.918, 0.079, 0.868], [0.339, 0.550, 0.418], [0.921, 0.839, 0.789], [0.211, 0.661, 0.079], [0.868, 0.579, 0.918], [0.632, 0.050, 0.211], [0.661, 0.211, 0.579], [0.789, 0.450, 0.368], [0.161, 0.082, 0.950], [0.289, 0.421, 0.839], [0.632, 0.582, 0.921], [0.050, 0.632, 0.711], [0.082, 0.921, 0.132], [0.339, 0.789, 0.421], [0.050, 0.418, 0.839], [0.579, 0.711, 0.661], [0.421, 0.289, 0.339], [0.839, 0.918, 0.050], [0.418, 0.050, 0.339], [0.550, 0.339, 0.918], [0.079, 0.161, 0.211], [0.132, 0.711, 0.550], [0.868, 0.289, 0.450], [0.289, 0.868, 0.950], [0.582, 0.632, 0.421], [0.211, 0.550, 0.632], [0.582, 0.950, 0.661], [0.918, 0.839, 0.550], [0.839, 0.921, 0.289], [0.711, 0.579, 0.161], [0.711, 0.132, 0.050], [0.950, 0.582, 0.161], [0.550, 0.211, 0.132], [0.132, 0.421, 0.082], [0.125, 0.750, 0.375], [0.375, 0.125, 0.750], [0.875, 0.625, 0.750], [0.000, 0.000, 0.500], [0.125, 0.375, 0.250], [0.750, 0.625, 0.375], [0.250, 0.375, 0.625], [0.500, 0.500, 0.500], [0.625, 0.875, 0.250], [0.000, 0.500, 0.500], [0.375, 0.250, 0.125], [0.500, 0.500, 0.000], [0.000, 0.500, 0.000], [0.750, 0.125, 0.875], [0.500, 0.000, 0.500], [0.250, 0.875, 0.125], [0.500, 0.000, 0.000], [0.875, 0.250, 0.625], [0.625, 0.750, 0.875], [0.000, 0.000, 0.000], [0.625, 0.250, 0.375], [0.750, 0.375, 0.125], [0.375, 0.750, 0.625], [0.750, 0.875, 0.625], [0.875, 0.750, 0.125], [0.375, 0.625, 0.250], [0.125, 0.875, 0.750], [0.250, 0.125, 0.375], [0.250, 0.625, 0.875], [0.875, 0.125, 0.250], [0.125, 0.250, 0.875], [0.625, 0.375, 0.750]], "volume_a3_per_cell": 1256}

***

7.
{"formula": "Sr2SnH", "functional": "PBE", "state": "relaxed", "cell": [[4.187, 0.000, 0.000], [2.093, 3.626, 0.000], [2.093, 1.209, 7.762]], "species": ["Sr", "Sr", "Sn", "H"], "fractional_positions": [[0.764, 0.764, 0.708], [0.236, 0.236, 0.292], [0.000, 0.000, 0.000], [0.500, 0.500, 0.500]], "volume_a3_per_cell": 118}

***

8.
{"formula": "Sr2SnH2", "functional": "PBE", "state": "relaxed", "cell": [[-2.600, -2.621, -1.232], [1.067, -2.407, 2.867], [-6.015, 0.561, 5.353]], "species": ["Sr", "Sr", "H", "H", "Sn"], "fractional_positions": [[0.345, 0.345, 0.310], [0.655, 0.655, 0.690], [0.750, 0.250, 0.500], [0.250, 0.750, 0.500], [0.000, 0.000, 0.000]], "volume_a3_per_cell": 115}

***

9.
{"formula": "Sr2SnH", "functional": "PBE", "state": "relaxed", "cell": [[-0.035, 2.307, -2.900], [-5.254, -1.701, -1.290], [-2.135, 4.100, 3.287]], "species": ["Sr", "Sr", "H", "Sn"], "fractional_positions": [[0.000, 0.000, 0.500], [0.000, 0.500, 0.000], [0.500, 0.500, 0.500], [0.500, 0.000, 0.000]], "volume_a3_per_cell": 119}

***

10.
{"formula": "Sr2SnH", "functional": "PBE", "state": "relaxed", "cell": [[4.193, 0.000, 0.000], [0.000, 5.577, -1.361], [0.000, -0.595, 9.665]], "species": ["Sr", "Sr", "Sr", "Sr", "H", "H", "Sn", "Sn"], "fractional_positions": [[0.000, 0.500, 0.000], [0.500, 0.315, 0.630], [0.500, 0.685, 0.370], [0.500, 0.000, 0.000], [0.500, 0.560, 0.121], [0.500, 0.440, 0.879], [0.000, 0.854, 0.709], [0.000, 0.146, 0.291]], "volume_a3_per_cell": 223}

***

11.
{"formula": "Sr2SnH2", "functional": "PBE", "state": "relaxed", "cell": [[-0.455, -1.367, 3.196], [0.265, -6.456, -2.723], [8.388, 5.389, 1.576]], "species": ["H", "H", "H", "H", "Sr", "Sr", "Sr", "Sr", "Sn", "Sn"], "fractional_positions": [[0.203, 0.554, 0.406], [0.797, 0.946, 0.594], [0.797, 0.446, 0.594], [0.203, 0.054, 0.406], [0.351, 0.777, 0.702], [0.649, 0.723, 0.298], [0.649, 0.223, 0.298], [0.351, 0.277, 0.702], [0.000, 0.250, 0.000], [0.000, 0.750, 0.000]], "volume_a3_per_cell": 207}

***

12.
{"formula": "SrSn2H", "functional": "PBE", "state": "relaxed", "cell": [[-5.800, -3.240, -0.970], [2.141, -2.027, -6.032], [0.008, -6.507, -1.546]], "species": ["Sn", "Sn", "Sn", "Sn", "H", "H", "Sr", "Sr"], "fractional_positions": [[0.375, 0.574, 0.750], [0.875, 0.676, 0.750], [0.324, 0.625, 0.250], [0.426, 0.125, 0.250], [0.250, 0.750, 0.500], [0.500, 0.500, 0.000], [0.750, 0.250, 0.500], [0.000, 0.000, 0.000]], "volume_a3_per_cell": 212}

***

13.
{"formula": "Sr5Sn2H2", "functional": "PBE", "state": "relaxed", "cell": [[5.467, 0.000, 0.000], [-2.733, 6.617, -0.284], [0.000, -1.367, 7.497]], "species": ["H", "H", "Sn", "Sn", "Sr", "Sr", "Sr", "Sr", "Sr"], "fractional_positions": [[0.161, 0.321, 0.878], [0.839, 0.679, 0.122], [0.403, 0.806, 0.718], [0.597, 0.194, 0.282], [0.852, 0.704, 0.464], [0.148, 0.296, 0.536], [0.000, 0.000, 0.000], [0.673, 0.346, 0.868], [0.327, 0.654, 0.132]], "volume_a3_per_cell": 269}

***

14.
{"formula": "Sr12Sn3H5", "functional": "PBE", "state": "relaxed", "cell": [[15.075, 0.000, 0.000], [-5.025, 14.213, 0.000], [-5.025, -7.107, 12.309]], "species": ["H", "H", "H", "H", "H", "H", "H", "H", "H", "H", "H", "H", "H", "H", "H", "H", "H", "H", "H", "H", "Sr", "Sr", "Sr", "Sr", "Sr", "Sr", "Sr", "Sr", "Sr", "Sr", "Sr", "Sr", "Sr", "Sr", "Sr", "Sr", "Sr", "Sr", "Sr", "Sr", "Sr", "Sr", "Sr", "Sr", "Sr", "Sr", "Sr", "Sr", "Sr", "Sr", "Sr", "Sr", "Sr", "Sr", "Sr", "Sr", "Sr", "Sr", "Sr", "Sr", "Sr", "Sr", "Sr", "Sr", "Sr", "Sr", "Sr", "Sr", "Sn", "Sn", "Sn", "Sn", "Sn", "Sn", "Sn", "Sn", "Sn", "Sn", "Sn", "Sn"], "fractional_positions": [[0.500, 0.000, 0.500], [0.500, 0.000, 0.000], [0.250, 0.875, 0.125], [0.375, 0.250, 0.125], [0.625, 0.875, 0.250], [0.000, 0.500, 0.000], [0.250, 0.375, 0.625], [0.125, 0.750, 0.375], [0.500, 0.500, 0.500], [0.875, 0.250, 0.625], [0.000, 0.000, 0.000], [0.125, 0.375, 0.250], [0.375, 0.125, 0.750], [0.500, 0.500, 0.000], [0.750, 0.625, 0.375], [0.000, 0.500, 0.500], [0.875, 0.625, 0.750], [0.000, 0.000, 0.500], [0.625, 0.750, 0.875], [0.750, 0.125, 0.875], [0.380, 0.979, 0.788], [0.408, 0.288, 0.309], [0.620, 0.599, 0.908], [0.901, 0.092, 0.880], [0.479, 0.691, 0.099], [0.620, 0.021, 0.212], [0.691, 0.479, 0.599], [0.880, 0.592, 0.901], [0.288, 0.880, 0.979], [0.309, 0.788, 0.408], [0.592, 0.880, 0.401], [0.120, 0.408, 0.099], [0.809, 0.901, 0.021], [0.288, 0.408, 0.809], [0.191, 0.092, 0.712], [0.401, 0.380, 0.592], [0.309, 0.521, 0.401], [0.212, 0.521, 0.620], [0.521, 0.309, 0.901], [0.712, 0.592, 0.191], [0.479, 0.788, 0.880], [0.092, 0.191, 0.212], [0.380, 0.401, 0.092], [0.592, 0.712, 0.691], [0.809, 0.908, 0.288], [0.408, 0.120, 0.599], [0.521, 0.212, 0.120], [0.788, 0.309, 0.908], [0.599, 0.979, 0.691], [0.021, 0.401, 0.809], [0.401, 0.021, 0.309], [0.212, 0.691, 0.092], [0.191, 0.099, 0.979], [0.092, 0.901, 0.380], [0.979, 0.380, 0.288], [0.021, 0.620, 0.712], [0.979, 0.599, 0.191], [0.880, 0.288, 0.479], [0.908, 0.809, 0.788], [0.691, 0.212, 0.592], [0.120, 0.712, 0.521], [0.599, 0.620, 0.408], [0.099, 0.191, 0.479], [0.788, 0.479, 0.380], [0.908, 0.099, 0.620], [0.099, 0.908, 0.120], [0.712, 0.120, 0.021], [0.901, 0.809, 0.521], [0.375, 0.625, 0.250], [0.625, 0.375, 0.750], [0.250, 0.625, 0.875], [0.750, 0.875, 0.625], [0.875, 0.750, 0.125], [0.875, 0.125, 0.250], [0.625, 0.250, 0.375], [0.250, 0.125, 0.375], [0.125, 0.250, 0.875], [0.750, 0.375, 0.125], [0.375, 0.750, 0.625], [0.125, 0.875, 0.750]], "volume_a3_per_cell": 2637}

***

15.
{"formula": "Sr5Sn2H2", "functional": "PBE", "state": "relaxed", "cell": [[6.898, 0.000, -2.260], [-0.735, 6.787, -2.242], [0.148, 0.211, 12.106]], "species": ["Sr", "Sr", "Sr", "Sr", "Sr", "Sr", "Sr", "Sr", "Sr", "Sr", "Sn", "Sn", "Sn", "Sn", "H", "H", "H", "H"], "fractional_positions": [[0.179, 0.117, 0.284], [0.821, 0.834, 0.716], [0.243, 0.234, 0.988], [0.854, 0.139, 0.500], [0.604, 0.617, 0.284], [0.396, 0.334, 0.716], [0.245, 0.734, 0.988], [0.755, 0.746, 0.012], [0.146, 0.639, 0.500], [0.757, 0.246, 0.012], [0.608, 0.104, 0.218], [0.890, 0.386, 0.782], [0.392, 0.886, 0.782], [0.110, 0.604, 0.218], [0.831, 0.788, 0.500], [0.500, 0.489, 0.000], [0.169, 0.288, 0.500], [0.000, 0.989, 0.000]], "volume_a3_per_cell": 573}

***

16.
{"formula": "SrSn2H2", "functional": "PBE", "state": "relaxed", "cell": [[-4.287, 3.439, -3.807], [-4.862, -4.308, 1.583], [-1.140, 2.632, 3.661]], "species": ["Sn", "Sn", "Sn", "Sn", "H", "H", "H", "H", "Sr", "Sr"], "fractional_positions": [[0.833, 0.333, 0.500], [0.333, 0.167, 0.500], [0.167, 0.667, 0.500], [0.667, 0.833, 0.500], [0.821, 0.321, 0.000], [0.321, 0.179, 0.000], [0.679, 0.821, 0.000], [0.179, 0.679, 0.000], [0.000, 0.000, 0.000], [0.500, 0.500, 0.000]], "volume_a3_per_cell": 208}

***

17.
{"formula": "Sr2SnH", "functional": "PBE", "state": "relaxed", "cell": [[0.000, 3.912, 3.912], [3.912, 0.000, 3.912], [3.912, 3.912, 0.000]], "species": ["Sr", "Sr", "Sn", "H"], "fractional_positions": [[0.250, 0.250, 0.250], [0.750, 0.750, 0.750], [0.500, 0.500, 0.500], [0.000, 0.000, 0.000]], "volume_a3_per_cell": 120}

***

Listing ρ for the structures above in their given order: 4.1 4.0 4.1 4.0 4.3 4.6 4.2 4.3 4.1 4.4 4.7 5.1 4.2 3.6 3.9 5.2 4.1 Mg/m³.
Listing raw total energy for the structures above in their given order: -3.0596 -2.9905 -3.1709 -2.8215 -3.2620 -3.1093 -2.9994 -3.3846 -2.9792 -3.1456 -3.2995 -3.2921 -3.0553 -2.8332 -3.0954 -3.3902 -2.8908 eV per atom.